First-principles (GGA-PBE) data for TbPm3Y2 after structural relaxation, as listed in Alexandria via LeMat-Bulk.

Calculated values
D(E_F) = 15.3 states/eV/cell
symmetry = P-1 (2)
DFT total energy = -5.30 eV/atom

```
TbPm3Y2
1.0
7.0259 -1.1338 -1.4950
-4.1936 9.4377 -0.4190
-2.1722 0.7279 6.9058
Tb Pm Y
2 6 4
direct
0.2515 0.0010 0.2506 Tb
0.7485 0.9990 0.7494 Tb
0.2516 0.0011 0.7502 Pm
0.7484 0.9989 0.2498 Pm
0.8054 0.6673 0.8608 Pm
0.1954 0.3336 0.6392 Pm
0.8046 0.6664 0.3608 Pm
0.1946 0.3327 0.1392 Pm
0.3047 0.6676 0.3607 Y
0.3040 0.6663 0.8604 Y
0.6960 0.3337 0.1396 Y
0.6953 0.3324 0.6393 Y
```